{"formula": "TmTe3", "functional": "PBE", "state": "optimized geometry", "dos_at_fermi_per_ev_cell": 1.6, "final_energy_ev_per_atom": -4.336, "e_form_raw_mev_per_atom": -862, "lattice": [[2.153, -13.316, 0.000], [2.153, 13.316, 0.000], [0.000, 0.000, 4.307]], "species": ["Tm", "Tm", "Te", "Te", "Te", "Te", "Te", "Te"], "fractional_positions": [[0.174, 0.826, 0.750], [0.826, 0.174, 0.250], [0.079, 0.921, 0.250], [0.292, 0.708, 0.750], [0.421, 0.579, 0.250], [0.579, 0.421, 0.750], [0.708, 0.292, 0.250], [0.921, 0.079, 0.750]]}